Record 1
A relaxed structure of Th5Tl2C2, computed with PBE-GGA.

Unit cell a=7.052 b=7.052 c=7.147 alpha=96.16 beta=96.16 gamma=44.53
Fractional coordinates of all 9 atoms:
Th 0.000 0.000 0.000
Th 0.156 0.156 0.566
Th 0.328 0.328 0.100
Th 0.672 0.672 0.900
Th 0.844 0.844 0.434
Tl 0.429 0.429 0.679
Tl 0.571 0.571 0.321
C 0.171 0.171 0.895
C 0.829 0.829 0.105

- energy of formation (eV per atom) = -0.082
- size of the total moment (μB per cell) = 0.000
- energy (eV/atom) = -6.780



Record 2
A relaxed structure of KP2IrS, computed with PBE-GGA.

Unit cell a=4.999 b=4.999 c=5.031 alpha=90.00 beta=90.00 gamma=90.00
Fractional coordinates of all 5 atoms:
K 0.000 0.000 0.000
P 0.000 0.500 0.000
P 0.500 0.000 0.000
Ir 0.500 0.500 0.500
S 0.000 0.000 0.500

- size of the total moment (μB per cell) = 0.926
- energy (eV/atom) = -2.400



Record 3
A relaxed structure of Cd2Ga3Ag4, computed with PBE-GGA.

Unit cell a=8.485 b=8.485 c=5.051 alpha=95.43 beta=95.43 gamma=71.92
Fractional coordinates of all 18 atoms:
Cd 0.133 0.329 0.080
Cd 0.329 0.133 0.580
Cd 0.671 0.867 0.420
Cd 0.867 0.671 0.920
Ga 0.028 0.972 0.250
Ga 0.343 0.460 0.524
Ga 0.460 0.343 0.024
Ga 0.540 0.657 0.976
Ga 0.657 0.540 0.476
Ga 0.972 0.028 0.750
Ag 0.032 0.666 0.448
Ag 0.215 0.661 0.984
Ag 0.334 0.968 0.052
Ag 0.339 0.785 0.516
Ag 0.661 0.215 0.484
Ag 0.666 0.032 0.948
Ag 0.785 0.339 0.016
Ag 0.968 0.334 0.552

- energy of formation (eV per atom) = 0.010
- size of the total moment (μB per cell) = 0.000
- energy (eV/atom) = -2.469



Record 4
A relaxed structure of Eu3DyF, computed with PBE-GGA.

Unit cell a=5.346 b=5.346 c=5.346 alpha=90.00 beta=90.00 gamma=90.00
Fractional coordinates of all 5 atoms:
Eu 0.000 0.000 0.500
Eu 0.000 0.500 0.000
Eu 0.500 0.000 0.000
Dy 0.500 0.500 0.500
F 0.000 0.000 0.000

- size of the total moment (μB per cell) = 22.724
- energy (eV/atom) = -8.426